(1)
This record from OQMD via LeMat-Bulk describes LuCoSiIr after structural relaxation. The functional is PBE.

Output
The symmetry is No. 216. Its density is 12.655 Mg/m³. Its electronic total energy is -6.998 eV/atom.

a b c (Å): 4.385 4.385 4.385
angles (deg): 60.00 60.00 60.00
Site moments in Bohr magnetons follow the coordinates.
Fractional positions:
Co 0.750 0.750 0.750  0.95
Ir 0.250 0.250 0.250  0.16
Lu 0.500 0.500 0.500  -0.08
Si 0.000 0.000 0.000  0.01



(2)
This record from OQMD via LeMat-Bulk describes CsTbCoTe3 after structural relaxation. The functional is PBE.

Output
The symmetry is No. 63. Its density is 5.878 Mg/m³. Its electronic total energy is -4.512 eV/atom.

a b c (Å): 8.975 8.975 11.210
angles (deg): 90.00 90.00 27.32
Site moments in Bohr magnetons follow the coordinates.
Fractional positions:
Co 0.477 0.477 0.250  1.72
Co 0.523 0.523 0.750  1.72
Cs 0.738 0.738 0.250  0.01
Cs 0.262 0.262 0.750  0.01
Tb 0.000 0.000 0.000  0.03
Tb 0.000 0.000 0.500  0.03
Te 0.383 0.383 0.078  0.07
Te 0.059 0.059 0.250  0.09
Te 0.383 0.383 0.422  0.07
Te 0.617 0.617 0.578  0.07
Te 0.941 0.941 0.750  0.09
Te 0.617 0.617 0.922  0.08



(3)
This record from OQMD via LeMat-Bulk describes CsNdSeO after structural relaxation. The functional is PBE.

Output
The symmetry is No. 160. Its density is 5.805 Mg/m³. Its electronic total energy is -5.528 eV/atom.

a b c (Å): 8.143 8.143 8.143
angles (deg): 28.19 28.19 28.19
Fractional positions:
Cs 0.496 0.496 0.496
Nd 0.015 0.015 0.015
O 0.721 0.721 0.721
Se 0.268 0.268 0.268



(4)
This record from OQMD via LeMat-Bulk describes AcTmGa after structural relaxation. The functional is PBE.

Output
The symmetry is No. 216. Its density is 7.285 Mg/m³. Its electronic total energy is -3.355 eV/atom.

a b c (Å): 5.315 5.315 5.315
angles (deg): 60.00 60.00 60.00
Fractional positions:
Ac 0.000 0.000 0.000
Ga 0.250 0.250 0.250
Tm 0.750 0.750 0.750



(5)
This record from OQMD via LeMat-Bulk describes ErTmNi2Sn after structural relaxation. The functional is PBE.

Output
The symmetry is No. 38. Its density is 9.598 Mg/m³. Its electronic total energy is -5.468 eV/atom.

a b c (Å): 3.605 7.183 7.183
angles (deg): 32.16 90.00 90.00
Fractional positions:
Er 0.500 0.637 0.637
Ni 0.000 0.198 0.198
Ni 0.000 0.802 0.802
Sn 0.000 0.000 0.000
Tm 0.500 0.363 0.363



(6)
This record from OQMD via LeMat-Bulk describes HoTlCd after structural relaxation. The functional is PBE.

Output
The symmetry is No. 216. Its density is 8.838 Mg/m³. Its electronic total energy is -2.529 eV/atom.

a b c (Å): 5.040 5.040 5.040
angles (deg): 60.00 60.00 60.00
Fractional positions:
Cd 0.250 0.250 0.250
Ho 0.000 0.000 0.000
Tl 0.750 0.750 0.750



(7)
This record from OQMD via LeMat-Bulk describes CuNi after structural relaxation. The functional is PBE.

Output
The symmetry is No. 194. Its density is 7.893 Mg/m³. Its electronic total energy is -4.070 eV/atom.

a b c (Å): 3.511 3.511 4.816
angles (deg): 90.00 90.00 120.00
Site moments in Bohr magnetons follow the coordinates.
Fractional positions:
Cu 0.667 0.333 0.250  0.07
Cu 0.333 0.667 0.750  0.07
Ni 0.000 0.000 0.000  0.41
Ni 0.000 0.000 0.500  0.42



(8)
This record from OQMD via LeMat-Bulk describes PrGePt3 after structural relaxation. The functional is PBE.

Output
The symmetry is No. 99. Its density is 13.673 Mg/m³. Its electronic total energy is -6.407 eV/atom.

a b c (Å): 4.147 4.147 5.641
angles (deg): 90.00 90.00 90.00
Fractional positions:
Ge 0.500 0.500 0.716
Pr 0.000 0.000 0.976
Pt 0.500 0.500 0.139
Pt 0.500 0.000 0.470
Pt 0.000 0.500 0.470